one.
This record from Alexandria via LeMat-Bulk describes crystalline InGa2Sb at its relaxed geometry. The functional is GGA-PBE.

Summary:
- Fermi-level density of states (states/eV/cell) = 7.6

CIF file:
```
data_InGa2Sb
_chemical_formula_sum 'In4 Ga8 Sb4'
_cell_length_a 7.2251
_cell_length_b 7.2251
_cell_length_c 7.2251
_cell_angle_alpha 90.00
_cell_angle_beta 90.00
_cell_angle_gamma 90.00
_symmetry_space_group_name_H-M 'F m -3 m'
_symmetry_Int_Tables_number 225
_symmetry_space_group_name_Hall '-F 4 2 3'
loop_
_atom_site_label
_atom_site_type_symbol
_atom_site_fract_x
_atom_site_fract_y
_atom_site_fract_z
In1 In 0.0000 0.0000 0.0000
Ga1 Ga 0.2500 0.2500 0.2500
Sb1 Sb 0.0000 0.0000 0.5000
```

***

two.
This record from Alexandria via LeMat-Bulk describes crystalline InGa2Sb at its relaxed geometry. The functional is GGA-PBE.

Summary:
- Fermi-level density of states (states/eV/cell) = 5.1

CIF file:
```
data_InGa2Sb
_chemical_formula_sum 'In3 Ga6 Sb3'
_cell_length_a 4.2846
_cell_length_b 4.2846
_cell_length_c 19.4677
_cell_angle_alpha 90.00
_cell_angle_beta 90.00
_cell_angle_gamma 120.00
_symmetry_space_group_name_H-M 'R 3 m'
_symmetry_Int_Tables_number 160
_symmetry_space_group_name_Hall 'R 3 -2"'
loop_
_atom_site_label
_atom_site_type_symbol
_atom_site_fract_x
_atom_site_fract_y
_atom_site_fract_z
In1 In 0.0000 0.0000 0.0000
Ga1 Ga 0.0000 0.0000 0.5809
Ga2 Ga 0.0000 0.0000 0.7561
Sb1 Sb 0.0000 0.0000 0.1696
```

***

The data favor two; the next most stable structure lies 9 meV/atom above it.

***

one.
This record from Alexandria via LeMat-Bulk describes crystalline InGa2Sb2 at its relaxed geometry. The functional is GGA-PBE.

Summary:
- Fermi-level density of states (states/eV/cell) = 4.5

CIF file:
```
data_InGa2Sb2
_chemical_formula_sum 'In2 Ga4 Sb4'
_cell_length_a 5.2331
_cell_length_b 5.2331
_cell_length_c 9.6321
_cell_angle_alpha 90.00
_cell_angle_beta 90.00
_cell_angle_gamma 90.00
_symmetry_space_group_name_H-M 'I 4/m m m'
_symmetry_Int_Tables_number 139
_symmetry_space_group_name_Hall '-I 4 2'
loop_
_atom_site_label
_atom_site_type_symbol
_atom_site_fract_x
_atom_site_fract_y
_atom_site_fract_z
In1 In 0.0000 0.0000 0.0000
Ga1 Ga 0.0000 0.0000 0.3695
Sb1 Sb 0.0000 0.5000 0.2500
```

***

two.
This record from Alexandria via LeMat-Bulk describes crystalline InGa2Sb2 at its relaxed geometry. The functional is GGA-PBE.

Summary:
- Fermi-level density of states (states/eV/cell) = 3.8

CIF file:
```
data_InGa2Sb2
_chemical_formula_sum 'In2 Ga4 Sb4'
_cell_length_a 4.3811
_cell_length_b 4.3811
_cell_length_c 14.5675
_cell_angle_alpha 90.00
_cell_angle_beta 90.00
_cell_angle_gamma 90.00
_symmetry_space_group_name_H-M 'I 4/m m m'
_symmetry_Int_Tables_number 139
_symmetry_space_group_name_Hall '-I 4 2'
loop_
_atom_site_label
_atom_site_type_symbol
_atom_site_fract_x
_atom_site_fract_y
_atom_site_fract_z
In1 In 0.0000 0.0000 0.0000
Ga1 Ga 0.0000 0.5000 0.2500
Sb1 Sb 0.0000 0.0000 0.3739
```

***

three.
This record from Alexandria via LeMat-Bulk describes crystalline InGa2Sb2 at its relaxed geometry. The functional is GGA-PBE.

Summary:
- Fermi-level density of states (states/eV/cell) = 3.0

CIF file:
```
data_InGa2Sb2
_chemical_formula_sum 'In2 Ga4 Sb4'
_cell_length_a 8.1112
_cell_length_b 8.1112
_cell_length_c 3.7612
_cell_angle_alpha 90.00
_cell_angle_beta 90.00
_cell_angle_gamma 90.00
_symmetry_space_group_name_H-M 'P 4/m b m'
_symmetry_Int_Tables_number 127
_symmetry_space_group_name_Hall '-P 4 2ab'
loop_
_atom_site_label
_atom_site_type_symbol
_atom_site_fract_x
_atom_site_fract_y
_atom_site_fract_z
In1 In 0.0000 0.0000 0.0000
Ga1 Ga 0.1332 0.3668 0.0000
Sb1 Sb 0.1585 0.6585 0.5000
```

***

The data favor two; the next most stable structure lies 24 meV/atom above it.

***

one.
This record from Alexandria via LeMat-Bulk describes crystalline InGaSb2Te at its relaxed geometry. The functional is GGA-PBE.

Summary:
- Fermi-level density of states (states/eV/cell) = 6.1

CIF file:
```
data_InGaSb2Te
_chemical_formula_sum 'In1 Ga1 Sb2 Te1'
_cell_length_a 5.8232
_cell_length_b 5.8232
_cell_length_c 6.0680
_cell_angle_alpha 90.00
_cell_angle_beta 90.00
_cell_angle_gamma 90.00
_symmetry_space_group_name_H-M 'P 4/m m m'
_symmetry_Int_Tables_number 123
_symmetry_space_group_name_Hall '-P 4 2'
loop_
_atom_site_label
_atom_site_type_symbol
_atom_site_fract_x
_atom_site_fract_y
_atom_site_fract_z
In1 In 0.0000 0.0000 0.0000
Ga1 Ga 0.5000 0.5000 0.5000
Sb1 Sb 0.0000 0.5000 0.0000
Te1 Te 0.0000 0.0000 0.5000
```

***

two.
This record from Alexandria via LeMat-Bulk describes crystalline InGaSb2Te at its relaxed geometry. The functional is GGA-PBE.

Summary:
- Fermi-level density of states (states/eV/cell) = 5.0

CIF file:
```
data_InGaSb2Te
_chemical_formula_sum 'In1 Ga1 Sb2 Te1'
_cell_length_a 5.4837
_cell_length_b 5.4837
_cell_length_c 5.6502
_cell_angle_alpha 90.00
_cell_angle_beta 90.00
_cell_angle_gamma 90.00
_symmetry_space_group_name_H-M 'P 4/m m m'
_symmetry_Int_Tables_number 123
_symmetry_space_group_name_Hall '-P 4 2'
loop_
_atom_site_label
_atom_site_type_symbol
_atom_site_fract_x
_atom_site_fract_y
_atom_site_fract_z
In1 In 0.0000 0.0000 0.0000
Ga1 Ga 0.5000 0.5000 0.5000
Sb1 Sb 0.0000 0.5000 0.5000
Te1 Te 0.5000 0.5000 0.0000
```

***

The data favor two; the next most stable structure lies 265 meV/atom above it.

***

one.
This record from Alexandria via LeMat-Bulk describes crystalline ScInGa at its relaxed geometry. The functional is GGA-PBE.

Summary:
- Fermi-level density of states (states/eV/cell) = 0.8

CIF file:
```
data_ScInGa
_chemical_formula_sum 'Sc1 In1 Ga1'
_cell_length_a 4.6300
_cell_length_b 4.6300
_cell_length_c 3.3347
_cell_angle_alpha 90.00
_cell_angle_beta 90.00
_cell_angle_gamma 120.00
_symmetry_space_group_name_H-M 'P 3 m 1'
_symmetry_Int_Tables_number 156
_symmetry_space_group_name_Hall 'P 3 -2"'
loop_
_atom_site_label
_atom_site_type_symbol
_atom_site_fract_x
_atom_site_fract_y
_atom_site_fract_z
Sc1 Sc 0.0000 0.0000 0.0000
In1 In 0.6667 0.3333 0.5321
Ga1 Ga 0.3333 0.6667 0.4238
```

***

two.
This record from Alexandria via LeMat-Bulk describes crystalline ScInGa at its relaxed geometry. The functional is GGA-PBE.

Summary:
- Fermi-level density of states (states/eV/cell) = 6.5

CIF file:
```
data_ScInGa
_chemical_formula_sum 'Sc4 In4 Ga4'
_cell_length_a 4.4144
_cell_length_b 14.8953
_cell_length_c 3.8563
_cell_angle_alpha 90.00
_cell_angle_beta 90.00
_cell_angle_gamma 90.00
_symmetry_space_group_name_H-M 'C m c m'
_symmetry_Int_Tables_number 63
_symmetry_space_group_name_Hall '-C 2c 2'
loop_
_atom_site_label
_atom_site_type_symbol
_atom_site_fract_x
_atom_site_fract_y
_atom_site_fract_z
Sc1 Sc 0.0000 0.0837 0.2500
In1 In 0.0000 0.2691 0.7500
Ga1 Ga 0.0000 0.4381 0.2500
```

***

three.
This record from Alexandria via LeMat-Bulk describes crystalline ScInGa at its relaxed geometry. The functional is GGA-PBE.

Summary:
- Fermi-level density of states (states/eV/cell) = 6.9

CIF file:
```
data_ScInGa
_chemical_formula_sum 'Sc4 In4 Ga4'
_cell_length_a 4.7376
_cell_length_b 6.9228
_cell_length_c 8.1714
_cell_angle_alpha 90.00
_cell_angle_beta 90.00
_cell_angle_gamma 90.00
_symmetry_space_group_name_H-M 'I m m 2'
_symmetry_Int_Tables_number 44
_symmetry_space_group_name_Hall 'I 2 -2'
loop_
_atom_site_label
_atom_site_type_symbol
_atom_site_fract_x
_atom_site_fract_y
_atom_site_fract_z
Sc1 Sc 0.0000 0.2478 0.0000
In1 In 0.0000 0.0000 0.6760
In2 In 0.0000 0.5000 0.6552
Ga1 Ga 0.0000 0.2132 0.3342
```

***

The data favor two; the next most stable structure lies 23 meV/atom above it.

***

one.
This record from Alexandria via LeMat-Bulk describes crystalline ScInGa3 at its relaxed geometry. The functional is GGA-PBE.

Summary:
- Fermi-level density of states (states/eV/cell) = 3.7

CIF file:
```
data_ScInGa3
_chemical_formula_sum 'Sc1 In1 Ga3'
_cell_length_a 5.1556
_cell_length_b 5.1556
_cell_length_c 5.1556
_cell_angle_alpha 90.00
_cell_angle_beta 90.00
_cell_angle_gamma 90.00
_symmetry_space_group_name_H-M 'P m -3 m'
_symmetry_Int_Tables_number 221
_symmetry_space_group_name_Hall '-P 4 2 3'
loop_
_atom_site_label
_atom_site_type_symbol
_atom_site_fract_x
_atom_site_fract_y
_atom_site_fract_z
Sc1 Sc 0.0000 0.0000 0.0000
In1 In 0.5000 0.5000 0.5000
Ga1 Ga 0.0000 0.5000 0.5000
```

***

two.
This record from Alexandria via LeMat-Bulk describes crystalline ScInGa3 at its relaxed geometry. The functional is GGA-PBE.

Summary:
- Fermi-level density of states (states/eV/cell) = 6.8

CIF file:
```
data_ScInGa3
_chemical_formula_sum 'Sc1 In1 Ga3'
_cell_length_a 5.2929
_cell_length_b 5.2929
_cell_length_c 5.2929
_cell_angle_alpha 90.00
_cell_angle_beta 90.00
_cell_angle_gamma 90.00
_symmetry_space_group_name_H-M 'P m -3 m'
_symmetry_Int_Tables_number 221
_symmetry_space_group_name_Hall '-P 4 2 3'
loop_
_atom_site_label
_atom_site_type_symbol
_atom_site_fract_x
_atom_site_fract_y
_atom_site_fract_z
Sc1 Sc 0.0000 0.0000 0.0000
In1 In 0.5000 0.5000 0.5000
Ga1 Ga 0.0000 0.0000 0.5000
```

***

The data favor two; the next most stable structure lies 118 meV/atom above it.

***

one.
This record from Alexandria via LeMat-Bulk describes crystalline Sc4In2Ga at its relaxed geometry. The functional is GGA-PBE.

Summary:
- Fermi-level density of states (states/eV/cell) = 26.0

CIF file:
```
data_Sc4In2Ga
_chemical_formula_sum 'Sc12 In6 Ga3'
_cell_length_a 4.8846
_cell_length_b 4.8846
_cell_length_c 24.0705
_cell_angle_alpha 90.00
_cell_angle_beta 90.00
_cell_angle_gamma 120.00
_symmetry_space_group_name_H-M 'R -3 m'
_symmetry_Int_Tables_number 166
_symmetry_space_group_name_Hall '-R 3 2"'
loop_
_atom_site_label
_atom_site_type_symbol
_atom_site_fract_x
_atom_site_fract_y
_atom_site_fract_z
Sc1 Sc 0.0000 0.0000 0.1236
Sc2 Sc 0.0000 0.0000 0.3747
In1 In 0.0000 0.0000 0.2526
Ga1 Ga 0.0000 0.0000 0.5000
```

***

two.
This record from Alexandria via LeMat-Bulk describes crystalline Sc4In2Ga at its relaxed geometry. The functional is GGA-PBE.

Summary:
- Fermi-level density of states (states/eV/cell) = 11.4

CIF file:
```
data_Sc4In2Ga
_chemical_formula_sum 'Sc8 In4 Ga2'
_cell_length_a 5.0326
_cell_length_b 5.0326
_cell_length_c 14.5295
_cell_angle_alpha 90.00
_cell_angle_beta 90.00
_cell_angle_gamma 90.00
_symmetry_space_group_name_H-M 'I 4/m m m'
_symmetry_Int_Tables_number 139
_symmetry_space_group_name_Hall '-I 4 2'
loop_
_atom_site_label
_atom_site_type_symbol
_atom_site_fract_x
_atom_site_fract_y
_atom_site_fract_z
Sc1 Sc 0.0000 0.0000 0.1804
Sc2 Sc 0.0000 0.5000 0.0000
In1 In 0.0000 0.0000 0.3795
Ga1 Ga 0.0000 0.0000 0.0000
```

***

The data favor one; the next most stable structure lies 195 meV/atom above it.

***

one.
This record from Alexandria via LeMat-Bulk describes crystalline Sc4InGa3 at its relaxed geometry. The functional is GGA-PBE.

Summary:
- Fermi-level density of states (states/eV/cell) = 7.8

CIF file:
```
data_Sc4InGa3
_chemical_formula_sum 'Sc8 In2 Ga6'
_cell_length_a 9.7657
_cell_length_b 6.5419
_cell_length_c 4.9684
_cell_angle_alpha 90.00
_cell_angle_beta 90.00
_cell_angle_gamma 90.00
_symmetry_space_group_name_H-M 'P m m a'
_symmetry_Int_Tables_number 51
_symmetry_space_group_name_Hall '-P 2a 2a'
loop_
_atom_site_label
_atom_site_type_symbol
_atom_site_fract_x
_atom_site_fract_y
_atom_site_fract_z
Sc1 Sc 0.0000 0.2418 0.0000
Sc2 Sc 0.2500 0.2410 0.4235
In1 In 0.0000 0.5000 0.5000
Ga1 Ga 0.0000 0.0000 0.5000
Ga2 Ga 0.2500 0.0000 0.9138
Ga3 Ga 0.2500 0.5000 0.9182
```

***

two.
This record from Alexandria via LeMat-Bulk describes crystalline Sc4InGa3 at its relaxed geometry. The functional is GGA-PBE.

Summary:
- Fermi-level density of states (states/eV/cell) = 8.3

CIF file:
```
data_Sc4InGa3
_chemical_formula_sum 'Sc4 In1 Ga3'
_cell_length_a 3.6778
_cell_length_b 4.1919
_cell_length_c 10.7982
_cell_angle_alpha 90.00
_cell_angle_beta 90.00
_cell_angle_gamma 90.00
_symmetry_space_group_name_H-M 'P m m 2'
_symmetry_Int_Tables_number 25
_symmetry_space_group_name_Hall 'P 2 -2'
loop_
_atom_site_label
_atom_site_type_symbol
_atom_site_fract_x
_atom_site_fract_y
_atom_site_fract_z
Sc1 Sc 0.0000 0.0000 0.0000
Sc2 Sc 0.0000 0.5000 0.2866
Sc3 Sc 0.5000 0.0000 0.4823
Sc4 Sc 0.5000 0.5000 0.8024
In1 In 0.0000 0.0000 0.7170
Ga1 Ga 0.0000 0.5000 0.5512
Ga2 Ga 0.5000 0.0000 0.2190
Ga3 Ga 0.5000 0.5000 0.0656
```

***

The data favor one; the next most stable structure lies 13 meV/atom above it.

***

one.
This record from Alexandria via LeMat-Bulk describes crystalline TbScInGa at its relaxed geometry. The functional is GGA-PBE.

Summary:
- Fermi-level density of states (states/eV/cell) = 2.4

CIF file:
```
data_TbScInGa
_chemical_formula_sum 'Tb1 Sc1 In1 Ga1'
_cell_length_a 3.5224
_cell_length_b 3.5224
_cell_length_c 7.3577
_cell_angle_alpha 90.00
_cell_angle_beta 90.00
_cell_angle_gamma 90.00
_symmetry_space_group_name_H-M 'P 4 m m'
_symmetry_Int_Tables_number 99
_symmetry_space_group_name_Hall 'P 4 -2'
loop_
_atom_site_label
_atom_site_type_symbol
_atom_site_fract_x
_atom_site_fract_y
_atom_site_fract_z
Tb1 Tb 0.0000 0.0000 0.0000
Sc1 Sc 0.0000 0.0000 0.4679
In1 In 0.5000 0.5000 0.7147
Ga1 Ga 0.5000 0.5000 0.2536
```

***

two.
This record from Alexandria via LeMat-Bulk describes crystalline TbScInGa at its relaxed geometry. The functional is GGA-PBE.

Summary:
- Fermi-level density of states (states/eV/cell) = 6.7

CIF file:
```
data_TbScInGa
_chemical_formula_sum 'Tb4 Sc4 In4 Ga4'
_cell_length_a 7.1692
_cell_length_b 7.1692
_cell_length_c 7.1692
_cell_angle_alpha 90.00
_cell_angle_beta 90.00
_cell_angle_gamma 90.00
_symmetry_space_group_name_H-M 'F -4 3 m'
_symmetry_Int_Tables_number 216
_symmetry_space_group_name_Hall 'F -4 2 3'
loop_
_atom_site_label
_atom_site_type_symbol
_atom_site_fract_x
_atom_site_fract_y
_atom_site_fract_z
Tb1 Tb 0.0000 0.0000 0.0000
Sc1 Sc 0.0000 0.0000 0.5000
In1 In 0.2500 0.2500 0.7500
Ga1 Ga 0.2500 0.2500 0.2500
```

***

The data favor one; the next most stable structure lies 28 meV/atom above it.